Entry 1:
Computed, not measured: SiBP2O after structural relaxation at the GGA-PBE level of DFT.

Properties
As for the space-group type: P4/mmm. As for the formation energy (no corrections): 0.222 eV/atom. The value obtained for the polymorph energy (0 for the lowest one) is 0.00 eV per formula unit. The value obtained for the total energy is -26.8 eV/f.u. The magnetic moment comes out at 0.00 μB per cell.

Cell and atoms, written as POSCAR:
```
SiBP2O
1.0
-1.057 -0.427 -4.686
1.383 -4.619 0.109
-2.551 -0.749 0.644
P Si B O
2 1 1 1
Cartesian
0.691 -2.309 0.055
-0.529 -0.214 -2.343
-1.113 -2.897 -1.966
0.000 0.000 0.000
-1.275 -0.374 0.322
```

***

Entry 2:
Computed, not measured: SiBP2O after structural relaxation at the GGA-PBE level of DFT.

Properties
As for the space-group type: P4/mmm. As for the formation energy (no corrections): 0.575 eV/atom. The value obtained for the polymorph energy (0 for the lowest one) is 1.77 eV per formula unit. The value obtained for the total energy is -25.0 eV/f.u. The magnetic moment comes out at 0.00 μB per cell.

Cell and atoms, written as POSCAR:
```
SiBP2O
1.0
4.648 0.000 0.000
0.000 4.648 0.000
0.000 0.000 3.225
P Si B O
2 1 1 1
Cartesian
0.000 2.324 0.000
2.324 0.000 0.000
0.000 0.000 0.000
2.324 2.324 1.612
0.000 0.000 1.612
```

***

Entry 3:
Computed, not measured: SnBP2O after structural relaxation at the GGA-PBE level of DFT.

Properties
As for the space-group type: P4/mmm. As for the formation energy (no corrections): 0.126 eV/atom. The value obtained for the polymorph energy (0 for the lowest one) is 0.00 eV per formula unit. The value obtained for the total energy is -25.8 eV/f.u. The magnetic moment comes out at 0.00 μB per cell.

Cell and atoms, written as POSCAR:
```
SnBP2O
1.0
-0.772 0.469 -5.456
2.821 -4.689 -0.802
-2.260 -1.394 0.200
P B Sn O
2 1 1 1
Cartesian
1.410 -2.344 -0.401
-0.386 0.234 -2.728
0.000 0.000 0.000
-0.106 -2.807 -3.029
-1.130 -0.697 0.100
```

***

What did the second record say?
Computed, not measured: SiBP2O after structural relaxation at the GGA-PBE level of DFT.

Properties
As for the space-group type: P4/mmm. As for the formation energy (no corrections): 0.575 eV/atom. The value obtained for the polymorph energy (0 for the lowest one) is 1.77 eV per formula unit. The value obtained for the total energy is -25.0 eV/f.u. The magnetic moment comes out at 0.00 μB per cell.

Cell and atoms, written as POSCAR:
```
SiBP2O
1.0
4.648 0.000 0.000
0.000 4.648 0.000
0.000 0.000 3.225
P Si B O
2 1 1 1
Cartesian
0.000 2.324 0.000
2.324 0.000 0.000
0.000 0.000 0.000
2.324 2.324 1.612
0.000 0.000 1.612
```